#A
Density functional theory data (PBE) for AlGa4Pd after structural relaxation.

abc: 6.7813 6.7813 6.7813
angles: 123.05 123.05 84.79
Positions (direct):
1 Al 0.0000 0.0000 0.0000
2 Al 0.5000 0.5000 0.0000
3 Ga 0.0085 0.5085 0.7928
4 Ga 0.2157 0.0085 0.5000
5 Ga 0.2843 0.7843 0.7928
6 Ga 0.4915 0.2843 0.5000
7 Ga 0.5085 0.7157 0.5000
8 Ga 0.7157 0.2157 0.2072
9 Ga 0.7843 0.9915 0.5000
10 Ga 0.9915 0.4915 0.2072
11 Pd 0.2500 0.2500 0.0000
12 Pd 0.7500 0.7500 0.0000

Space-group type ... I4/mcm

#B
Density functional theory data (PBE) for AlGa4Pd after structural relaxation.

abc: 5.3938 5.4152 7.8317
angles: 90.00 90.00 90.00
Positions (direct):
1 Al 0.0000 0.0000 0.0000
2 Al 0.0000 0.5000 0.5000
3 Ga 0.2543 0.2447 0.7493
4 Ga 0.2543 0.7553 0.2507
5 Ga 0.2573 0.2463 0.2489
6 Ga 0.2573 0.7537 0.7511
7 Ga 0.7427 0.2463 0.7511
8 Ga 0.7427 0.7537 0.2489
9 Ga 0.7457 0.2447 0.2507
10 Ga 0.7457 0.7553 0.7493
11 Pd 0.0000 0.5000 0.0000
12 Pd 0.5000 0.5000 0.5000

Space-group type ... P222

Going by the energies, #A is most stable and the next is 153 meV/atom up.